1.
# Zn3BP GGA-PBE optimized geometry
data_Zn3BP
_chemical_formula_sum 'Zn3 B1 P1'
_symmetry_space_group_name_H-M 'P 1'
_symmetry_Int_Tables_number 1
_symmetry_space_group_name_Hall 'P 1'
_cell_length_a 4.2096
_cell_length_b 4.2096
_cell_length_c 4.2096
_cell_angle_alpha 90.00
_cell_angle_beta 90.00
_cell_angle_gamma 90.00
loop_
_atom_site_label
_atom_site_fract_x
_atom_site_fract_y
_atom_site_fract_z
P1 0.5000 0.5000 0.5000
Zn1 0.0000 0.5000 0.0000
Zn2 0.0000 0.0000 0.5000
Zn3 0.5000 0.0000 0.0000
B1 0.0000 0.0000 0.0000
# offset from the most stable computed form	0.00	kcal/mol of atoms
# ΔE_f	0.5029	eV/atom

2.
# ZnBP2 GGA-PBE optimized geometry
data_ZnBP2
_chemical_formula_sum 'Zn2 B2 P4'
_symmetry_space_group_name_H-M 'P 1'
_symmetry_Int_Tables_number 1
_symmetry_space_group_name_Hall 'P 1'
_cell_length_a 5.1044
_cell_length_b 5.1044
_cell_length_c 5.9605
_cell_angle_alpha 64.65
_cell_angle_beta 64.65
_cell_angle_gamma 90.00
loop_
_atom_site_label
_atom_site_fract_x
_atom_site_fract_y
_atom_site_fract_z
P1 0.5650 0.1250 0.2500
P2 0.1850 0.6250 0.2500
P3 0.3750 0.4350 0.7500
P4 0.8750 0.8150 0.7500
Zn1 0.0000 0.0000 0.0000
Zn2 0.7500 0.2500 0.5000
B1 0.5000 0.5000 0.0000
B2 0.2500 0.7500 0.5000
# offset from the most stable computed form	0.00	kcal/mol of atoms
# ΔE_f	-0.0592	eV/atom

3.
# Zn2BP GGA-PBE optimized geometry
data_Zn2BP
_chemical_formula_sum 'Zn4 B2 P2'
_symmetry_space_group_name_H-M 'P 1'
_symmetry_Int_Tables_number 1
_symmetry_space_group_name_Hall 'P 1'
_cell_length_a 5.7004
_cell_length_b 5.7004
_cell_length_c 5.7400
_cell_angle_alpha 60.23
_cell_angle_beta 60.23
_cell_angle_gamma 90.00
loop_
_atom_site_label
_atom_site_fract_x
_atom_site_fract_y
_atom_site_fract_z
P1 0.0000 0.0000 0.0000
P2 0.7500 0.2500 0.5000
Zn1 0.5924 0.1250 0.2500
Zn2 0.1576 0.6250 0.2500
Zn3 0.3750 0.4076 0.7500
Zn4 0.8750 0.8424 0.7500
B1 0.5000 0.5000 0.0000
B2 0.2500 0.7500 0.5000
# offset from the most stable computed form	0.00	kcal/mol of atoms
# ΔE_f	0.7507	eV/atom

4.
# ZnBP2 GGA-PBE optimized geometry
data_ZnBP2
_chemical_formula_sum 'Zn1 B1 P2'
_symmetry_space_group_name_H-M 'P 1'
_symmetry_Int_Tables_number 1
_symmetry_space_group_name_Hall 'P 1'
_cell_length_a 4.2046
_cell_length_b 4.2046
_cell_length_c 4.2046
_cell_angle_alpha 60.00
_cell_angle_beta 60.00
_cell_angle_gamma 60.00
loop_
_atom_site_label
_atom_site_fract_x
_atom_site_fract_y
_atom_site_fract_z
P1 0.2500 0.2500 0.2500
P2 0.7500 0.7500 0.7500
Zn1 0.5000 0.5000 0.5000
B1 0.0000 0.0000 0.0000
# offset from the most stable computed form	26.91	kcal/mol of atoms
# ΔE_f	1.1076	eV/atom

5.
# ZnB2P GGA-PBE optimized geometry
data_ZnB2P
_chemical_formula_sum 'Zn2 B4 P2'
_symmetry_space_group_name_H-M 'P 1'
_symmetry_Int_Tables_number 1
_symmetry_space_group_name_Hall 'P 1'
_cell_length_a 4.9232
_cell_length_b 4.9232
_cell_length_c 5.5291
_cell_angle_alpha 63.56
_cell_angle_beta 63.56
_cell_angle_gamma 90.00
loop_
_atom_site_label
_atom_site_fract_x
_atom_site_fract_y
_atom_site_fract_z
P1 0.5000 0.5000 0.0000
P2 0.2500 0.7500 0.5000
Zn1 0.0000 0.0000 0.0000
Zn2 0.7500 0.2500 0.5000
B1 0.5817 0.1250 0.2500
B2 0.1683 0.6250 0.2500
B3 0.3750 0.4183 0.7500
B4 0.8750 0.8317 0.7500
# offset from the most stable computed form	0.00	kcal/mol of atoms
# ΔE_f	0.4954	eV/atom

6.
# Zn2BP GGA-PBE optimized geometry
data_Zn2BP
_chemical_formula_sum 'Zn2 B1 P1'
_symmetry_space_group_name_H-M 'P 1'
_symmetry_Int_Tables_number 1
_symmetry_space_group_name_Hall 'P 1'
_cell_length_a 4.2651
_cell_length_b 4.2651
_cell_length_c 4.2651
_cell_angle_alpha 60.00
_cell_angle_beta 60.00
_cell_angle_gamma 60.00
loop_
_atom_site_label
_atom_site_fract_x
_atom_site_fract_y
_atom_site_fract_z
P1 0.5000 0.5000 0.5000
Zn1 0.2500 0.2500 0.2500
Zn2 0.7500 0.7500 0.7500
B1 0.0000 0.0000 0.0000
# offset from the most stable computed form	3.72	kcal/mol of atoms
# ΔE_f	0.9122	eV/atom

offset from the most stable computed form of number 6 (Zn2BP)?
3.72 kcal/mol of atoms

The highest offset from the most stable computed form belongs to which entry?
number 4

Which of these has the highest offset from the most stable computed form?
number 4

What is the formula in the fourth record?
ZnBP2